## Ti5BiC (PBE)

Data for a relaxed structure of Ti5BiC.

POSCAR file:
```
Ti5BiC
1.0
-0.6510 -1.3761 5.4318
-3.0643 -4.5836 1.1928
4.9950 -7.2949 2.6762
Bi Ti C
2 10 2
Direct
0.5000 0.5000 0.2500
0.5000 0.5000 0.7500
0.4194 0.9258 0.4136
0.4195 0.9255 0.9137
0.9258 0.4194 0.9136
0.0745 0.5805 0.5863
0.0742 0.5806 0.0864
0.9255 0.4195 0.4137
0.0000 0.0000 0.7500
0.0000 0.0000 0.2500
0.5805 0.0745 0.0863
0.5806 0.0742 0.5864
0.0000 0.0000 0.0000
0.0000 0.0000 0.5000
```

* ΔE_f: -142 kJ/mol of formula units
* SG: Immm
* crystal system: orthorhombic

## RePb2SBr (PBE)

Data for a relaxed structure of RePb2SBr.

POSCAR file:
```
RePb2SBr
1.0
5.4436 0.0000 0.0000
0.0000 4.6838 0.0000
0.0000 0.0000 5.4436
Br Pb S Re
1 2 1 1
Direct
0.0000 0.5000 0.0000
0.5000 0.0000 0.0000
0.0000 0.0000 0.5000
0.5000 0.5000 0.5000
0.0000 0.0000 0.0000
```

* SG: P4/mmm
* crystal system: tetragonal
* energy relative to the elements, uncorrected: 0.545 eV/atom

## La2RuSe (PBE)

Data for a relaxed structure of La2RuSe.

POSCAR file:
```
La2RuSe
1.0
7.4705 0.0000 0.0000
0.0000 7.4705 0.0000
3.7353 3.7353 4.2182
Se La Ru
2 4 2
Direct
0.5000 0.5000 0.0000
0.2500 0.7500 0.5000
0.6619 0.1250 0.2500
0.3750 0.3381 0.7500
0.8750 0.9119 0.7500
0.0881 0.6250 0.2500
0.0000 0.0000 0.0000
0.7500 0.2500 0.5000
```

* SG: I-42d
* crystal system: tetragonal
* energy relative to the elements, uncorrected: -0.768 eV/atom

## MnSe2Cl (PBE)

Data for a relaxed structure of MnSe2Cl.

POSCAR file:
```
MnSe2Cl
1.0
-0.1222 -3.5600 -3.6917
1.9222 -3.4553 3.2684
-2.7622 -0.7584 0.8228
Mn Cl Se
1 1 2
Direct
0.0000 0.5000 0.5000
0.5000 0.0000 0.5000
0.5000 0.5000 0.0000
0.0000 0.0000 0.0000
```

* SG: P4/mmm
* crystal system: tetragonal
* excess energy over the best structure of this formula in the dataset: 885 meV/atom
* energy relative to the elements, uncorrected: 0.419 eV/atom

## GeSI (PBE)

Data for a relaxed structure of GeSI.

POSCAR file:
```
GeSI
1.0
-0.9275 3.9766 -2.9314
2.0404 -4.1376 -6.2585
-6.5010 -1.8116 3.9090
Ge S I
2 2 2
Direct
0.1193 0.6195 0.2387
0.8807 0.3805 0.7613
0.0001 0.2802 0.0003
0.9999 0.7198 0.9997
0.7184 0.7187 0.4369
0.2816 0.2813 0.5631
```

* SG: Immm
* crystal system: orthorhombic
* excess energy over the best structure of this formula in the dataset: 106 meV/atom
* energy relative to the elements, uncorrected: -0.168 eV/atom

## PrGa4Ni3 (PBE)

Data for a relaxed structure of PrGa4Ni3.

POSCAR file:
```
PrGa4Ni3
1.0
-2.2451 1.7691 2.9775
-1.5891 -3.6790 0.9877
5.8288 -1.1538 5.0806
Pr Ni Ga
1 3 4
Direct
0.0000 0.0000 0.5000
0.5000 0.5000 0.6514
0.5000 0.5000 0.3486
0.0000 0.0000 0.0000
0.0000 0.5000 0.1752
0.5000 0.0000 0.8248
0.0000 0.5000 0.8248
0.5000 0.0000 0.1752
```

* ΔE_f: -341 kJ/mol of formula units
* SG: P4/mmm
* crystal system: tetragonal

## Th2MgCo (PBE)

Data for a relaxed structure of Th2MgCo.

POSCAR file:
```
Th2MgCo
1.0
-3.0014 -1.4936 1.7056
0.4626 -2.4711 2.7979
-0.8167 6.3093 8.2360
Th Mg Co
2 1 1
Direct
0.1146 0.1146 0.6562
0.8854 0.8854 0.3438
0.0000 0.0000 0.0000
0.5000 0.5000 0.5000
```

* ΔE_f: 59 kJ/mol of formula units
* SG: R-3m
* crystal system: trigonal
* excess energy over the best structure of this formula in the dataset: 197 meV/atom

## CaEuSc (PBE)

Data for a relaxed structure of CaEuSc.

POSCAR file:
```
CaEuSc
1.0
3.6359 0.0000 0.0000
-1.8180 3.1488 0.0000
0.0000 0.0000 9.0147
Sc Ca Eu
1 1 1
Direct
0.6667 0.3333 0.3373
0.0000 0.0000 0.0165
0.3333 0.6667 0.6461
```

* ΔE_f: 50 kJ/mol of formula units
* SG: P3m1
* crystal system: trigonal
* excess energy over the best structure of this formula in the dataset: 6 meV/atom

Total moment / Bohr magnetons per cell: 0.0 0.0 0.0 3.8 0.0 0.0 0.0 8.2